1.
{"formula": "Ac4HgIr2Pd", "functional": "GGA-PBE", "state": "relaxed", "lattice_angstrom": [[-2.251, 3.801, -0.124], [0.041, -2.326, 6.702], [14.625, 8.760, 2.952]], "species": ["Ac", "Ac", "Ac", "Ac", "Ac", "Ac", "Ac", "Ac", "Hg", "Hg", "Ir", "Ir", "Ir", "Ir", "Pd", "Pd"], "fractional_positions": [[0.276, 0.553, 0.090], [0.724, 0.447, 0.590], [0.724, 0.447, 0.910], [0.276, 0.553, 0.410], [0.000, 0.000, 0.500], [0.000, 0.000, 0.000], [0.425, 0.851, 0.750], [0.575, 0.149, 0.250], [0.129, 0.259, 0.750], [0.871, 0.741, 0.250], [0.372, 0.743, 0.567], [0.628, 0.257, 0.067], [0.628, 0.257, 0.433], [0.372, 0.743, 0.933], [0.766, 0.532, 0.750], [0.234, 0.468, 0.250]], "space_group": "Cmcm", "dos_at_fermi_per_ev_fu": 4.6, "delta_e_f_ev_per_atom": -0.52}

---

2.
{"formula": "TiTcSn", "functional": "GGA-PBE", "state": "relaxed", "lattice_angstrom": [[-2.204, -3.494, -1.509], [0.000, 0.760, 4.650], [-4.788, 3.249, -0.531]], "species": ["Ti", "Ti", "Tc", "Tc", "Sn", "Sn"], "fractional_positions": [[0.703, 0.406, 0.250], [0.297, 0.594, 0.750], [0.389, 0.777, 0.250], [0.611, 0.223, 0.750], [0.000, 0.000, 0.000], [0.000, 0.000, 0.500]], "space_group": "Cmcm", "de_polymorph_mev_per_atom": 236, "dos_at_fermi_per_ev_fu": 2.7, "delta_e_f_ev_per_atom": -0.05}

---

3.
{"formula": "Pa2PbS", "functional": "GGA-PBE", "state": "relaxed", "lattice_angstrom": [[3.398, 0.000, 0.000], [0.000, 3.398, 0.000], [0.000, 0.000, 8.131]], "species": ["Pb", "S", "Pa", "Pa"], "fractional_positions": [[0.500, 0.500, 0.500], [0.500, 0.500, 0.000], [0.000, 0.000, 0.793], [0.000, 0.000, 0.207]], "space_group": "P4/mmm", "de_polymorph_mev_per_atom": 159, "dos_at_fermi_per_ev_fu": 8.3, "raw_formation_energy_mev_per_atom": -499}

---

4.
{"formula": "GeHPb2S4", "functional": "GGA-PBE", "state": "relaxed", "lattice_angstrom": [[8.139, 1.872, 0.023], [2.041, 9.015, 1.094], [-5.012, -4.549, 5.972]], "species": ["Ge", "Ge", "H", "H", "Pb", "Pb", "Pb", "Pb", "S", "S", "S", "S", "S", "S", "S", "S"], "fractional_positions": [[0.501, 0.482, 0.514], [0.885, 0.793, 0.876], [0.113, 0.450, 0.990], [0.148, 0.576, 0.588], [0.445, 0.952, 0.938], [0.466, 0.980, 0.506], [0.983, 0.203, 0.498], [0.511, 0.511, 0.035], [0.236, 0.804, 0.054], [0.658, 0.195, 0.480], [0.197, 0.889, 0.519], [0.751, 0.066, 0.991], [0.770, 0.638, 0.908], [0.767, 0.696, 0.539], [0.300, 0.436, 0.600], [0.268, 0.330, 0.963]], "space_group": "P1"}

---

5.
{"formula": "ErTm2HfN4", "functional": "GGA-PBE", "state": "relaxed", "lattice_angstrom": [[3.343, 0.000, 0.000], [0.000, 5.800, 0.112], [0.000, -2.018, 5.434]], "species": ["Er", "Tm", "Tm", "Hf", "N", "N", "N", "N"], "fractional_positions": [[0.500, 0.500, 0.000], [0.500, 0.000, 0.500], [0.000, 0.500, 0.500], [0.000, 0.000, 0.000], [0.500, 0.236, 0.237], [0.500, 0.764, 0.763], [0.000, 0.241, 0.757], [0.000, 0.759, 0.243]], "space_group": "P2/m", "dos_at_fermi_per_ev_fu": 1.1, "raw_formation_energy_mev_per_atom": -1842}

---

6.
{"formula": "SrBS2N", "functional": "GGA-PBE", "state": "relaxed", "lattice_angstrom": [[-5.085, 2.131, -1.350], [-2.522, -4.245, 2.801], [0.036, 2.708, 4.136]], "species": ["Sr", "S", "S", "B", "N"], "fractional_positions": [[0.000, 0.000, 0.000], [0.000, 0.500, 0.000], [0.500, 0.000, 0.000], [0.500, 0.500, 0.500], [0.000, 0.000, 0.500]], "space_group": "P4/mmm", "de_polymorph_mev_per_atom": 2062, "dos_at_fermi_per_ev_fu": 3.7, "raw_formation_energy_mev_per_atom": 1750}

---

7.
{"formula": "LiLuThSn", "functional": "GGA-PBE", "state": "relaxed", "lattice_angstrom": [[-1.065, -0.590, -5.123], [2.455, -3.733, -2.786], [-2.666, -4.224, -1.665]], "species": ["Lu", "Sn", "Th", "Li"], "fractional_positions": [[0.500, 0.500, 0.500], [0.250, 0.250, 0.250], [0.000, 0.000, 0.000], [0.750, 0.750, 0.750]], "space_group": "F-43m", "dos_at_fermi_per_ev_fu": 4.8, "delta_e_f_ev_per_atom": -0.21}

---

8.
{"formula": "LiVCd", "functional": "GGA-PBE", "state": "relaxed", "lattice_angstrom": [[2.832, -0.010, 0.015], [-0.050, 4.286, 0.002], [-0.109, -0.760, 8.301]], "species": ["Cd", "Cd", "Li", "Li", "V", "V"], "fractional_positions": [[0.494, 0.712, 0.257], [0.506, 0.288, 0.743], [0.953, 0.764, 0.589], [0.047, 0.236, 0.411], [0.111, 0.810, 0.943], [0.889, 0.190, 0.057]], "space_group": "P-1", "de_polymorph_mev_per_atom": 0, "dos_at_fermi_per_ev_fu": 1.2, "delta_e_f_ev_per_atom": 0.13}

---

9.
{"formula": "LaZrP3", "functional": "GGA-PBE", "state": "relaxed", "lattice_angstrom": [[4.975, 0.000, 0.000], [0.000, 4.975, 0.000], [0.000, 0.000, 4.975]], "species": ["P", "P", "P", "Zr", "La"], "fractional_positions": [[0.000, 0.500, 0.000], [0.000, 0.000, 0.500], [0.500, 0.000, 0.000], [0.000, 0.000, 0.000], [0.500, 0.500, 0.500]], "space_group": "Pm-3m", "de_polymorph_mev_per_atom": 0, "dos_at_fermi_per_ev_fu": 6.6, "delta_e_f_ev_per_atom": -0.59}

---

10.
{"formula": "NaInSnBr4", "functional": "GGA-PBE", "state": "relaxed", "lattice_angstrom": [[8.164, 0.000, 0.468], [0.000, 8.292, 0.000], [-2.667, 0.000, 8.219]], "species": ["Na", "Na", "In", "In", "Sn", "Sn", "Br", "Br", "Br", "Br", "Br", "Br", "Br", "Br"], "fractional_positions": [[0.300, 0.750, 0.331], [0.700, 0.250, 0.669], [0.831, 0.750, 0.973], [0.169, 0.250, 0.027], [0.825, 0.750, 0.479], [0.175, 0.250, 0.521], [0.966, 0.490, 0.722], [0.034, 0.990, 0.278], [0.034, 0.510, 0.278], [0.966, 0.010, 0.722], [0.567, 0.750, 0.178], [0.433, 0.250, 0.822], [0.555, 0.750, 0.625], [0.445, 0.250, 0.375]], "space_group": "P2_1/m", "dos_at_fermi_per_ev_fu": 0.0, "raw_formation_energy_mev_per_atom": -905}

---

11.
{"formula": "Ac2CuHg", "functional": "GGA-PBE", "state": "relaxed", "lattice_angstrom": [[3.913, 0.000, 0.000], [1.956, 3.389, 0.000], [1.956, 1.130, 11.022]], "species": ["Ac", "Ac", "Hg", "Cu"], "fractional_positions": [[0.089, 0.089, 0.732], [0.911, 0.911, 0.268], [0.500, 0.500, 0.500], [0.000, 0.000, 0.000]], "space_group": "R-3m", "de_polymorph_mev_per_atom": 577, "dos_at_fermi_per_ev_fu": 2.4, "delta_e_f_ev_per_atom": 0.30}

---

12.
{"formula": "K2TeSe", "functional": "GGA-PBE", "state": "relaxed", "lattice_angstrom": [[4.949, 0.717, 0.000], [0.704, 6.789, 0.000], [0.000, 0.000, 9.146]], "species": ["K", "K", "K", "K", "Te", "Te", "Se", "Se"], "fractional_positions": [[0.270, 0.738, 0.027], [0.730, 0.262, 0.973], [0.730, 0.262, 0.527], [0.270, 0.738, 0.473], [0.231, 0.197, 0.250], [0.769, 0.803, 0.750], [0.871, 0.548, 0.250], [0.129, 0.452, 0.750]], "space_group": "P2_1/m", "de_polymorph_mev_per_atom": 0, "raw_formation_energy_mev_per_atom": -836}

---

Number 1: total DFT energy (no corrections) -5.475 eV/atom. Number 2: total DFT energy (no corrections) -7.470 eV/atom. Number 3: total DFT energy (no corrections) -7.206 eV/atom. Number 4: total DFT energy (no corrections) -4.316 eV/atom. Number 5: total DFT energy (no corrections) -8.937 eV/atom. Number 6: total DFT energy (no corrections) -3.238 eV/atom. Number 7: total DFT energy (no corrections) -4.676 eV/atom. Number 8: total DFT energy (no corrections) -3.851 eV/atom. Number 9: total DFT energy (no corrections) -6.532 eV/atom. Number 10: total DFT energy (no corrections) -3.012 eV/atom. Number 11: total DFT energy (no corrections) -2.857 eV/atom. Number 12: total DFT energy (no corrections) -3.041 eV/atom.